# 1
Density functional theory data (PBE-GGA) for crystalline MgSnCl4 at its relaxed geometry.

abc: 6.5357 3.8875 7.0676
angles: 90.00 93.13 90.00
Sites, in units of the cell vectors:
1 Mg 0.0000 0.0000 0.0000
2 Sn 0.0000 0.5000 0.5000
3 Cl 0.2093 0.5000 0.8672
4 Cl 0.2269 0.0000 0.3016
5 Cl 0.7731 0.0000 0.6984
6 Cl 0.7907 0.5000 0.1328

Results
- size of the total moment (μB/cell) = 0.00
- polymorph energy (0 for the lowest one) (eV per atom) = 0.000
- uncorrected formation energy (eV/atom) = -1.3879

# 2
Density functional theory data (PBE-GGA) for crystalline In2SeCl at its relaxed geometry.

abc: 8.1382 8.1382 4.0481
angles: 104.20 104.20 27.72
Sites, in units of the cell vectors:
1 In 0.0000 0.0000 0.0000
2 In 0.7316 0.7316 0.2501
3 Se 0.5370 0.5370 0.5370
4 Cl 0.3176 0.3176 0.8223

Results
- size of the total moment (μB/cell) = 0.00
- polymorph energy (0 for the lowest one) (eV per atom) = 0.068
- uncorrected formation energy (eV/atom) = -0.4915

# 3
Density functional theory data (PBE-GGA) for crystalline BiSbPd2 at its relaxed geometry.

abc: 9.1159 9.1159 9.1159
angles: 149.79 149.79 43.26
Sites, in units of the cell vectors:
1 Bi 0.0000 0.0000 0.0000
2 Bi 0.7500 0.2500 0.5000
3 Sb 0.2500 0.7500 0.5000
4 Sb 0.5000 0.5000 0.0000
5 Pd 0.1642 0.6250 0.0392
6 Pd 0.3750 0.4142 0.5392
7 Pd 0.5858 0.1250 0.9608
8 Pd 0.8750 0.8358 0.4608

Results
- size of the total moment (μB/cell) = 0.00
- uncorrected formation energy (eV/atom) = -0.1437

# 4
Density functional theory data (PBE-GGA) for crystalline Ba2MnAs at its relaxed geometry.

abc: 4.7740 4.7740 8.8818
angles: 105.55 105.55 59.92
Sites, in units of the cell vectors:
1 Ba 0.2352 0.2352 0.2059
2 Ba 0.7648 0.7648 0.7941
3 Mn 0.0000 0.0000 0.5000
4 As 0.5000 0.5000 0.0000

Results
- size of the total moment (μB/cell) = 4.04
- ΔE_f (eV per atom) = -0.076

What is the size of the total moment in the first record?
0.00 μB/cell